Run A
Below is a geometry-optimized CoSiNi4 structure, with properties calculated at the PBE level.

## Properties
SG ... F-43m (216)
Mass density ... 7.74 g/cm³
Crystal system ... cubic

a b c (Å): 4.606 4.606 4.606
angles (deg): 60.00 60.00 60.00
Sites, in units of the cell vectors:
Co1 0.000 0.000 0.000
Si1 0.250 0.250 0.250
Ni1 0.625 0.625 0.125
Ni2 0.625 0.125 0.625
Ni3 0.625 0.625 0.625
Ni4 0.125 0.625 0.625

Run B
Below is a geometry-optimized CoSiNi4 structure, with properties calculated at the PBE level.

## Properties
SG ... Pbam (55)
Mass density ... 8.15 g/cm³
Crystal system ... orthorhombic

a b c (Å): 7.831 4.086 4.097
angles (deg): 90.00 89.98 90.00
Sites, in units of the cell vectors:
Co1 0.500 0.000 0.500
Co2 0.000 0.500 0.500
Si1 0.000 0.000 0.000
Si2 0.500 0.500 0.000
Ni1 0.840 0.504 0.000
Ni2 0.660 0.004 0.000
Ni3 0.338 0.501 0.500
Ni4 0.162 0.001 0.500
Ni5 0.160 0.496 0.000
Ni6 0.340 0.996 0.000
Ni7 0.662 0.499 0.500
Ni8 0.838 0.999 0.500

Compare the structures above. Which one is the most stable? run B is.